A plane-wave DFT calculation with GGA-PBE was carried out for a relaxed CeMnAs2Rh5 crystal.

Lattice parameters (Å, degrees): 4.0066 4.0066 10.5146 90.00 90.00 90.00
Sites, in units of the cell vectors:
Ce1 0.0000 0.0000 0.0000
Mn1 0.0000 0.0000 0.5000
As1 0.5000 0.5000 0.2284
As2 0.5000 0.5000 0.7716
Rh1 0.0000 0.5000 0.3544
Rh2 0.0000 0.5000 0.6456
Rh3 0.5000 0.0000 0.3544
Rh4 0.5000 0.0000 0.6456
Rh5 0.5000 0.5000 0.0000

Energy relative to the elements, meV per atom: -368
Total magnetization, μB per cell: 3.806